# Mn3AlBi | Alexandria | PBE | relaxed
# mass density: 5.00 g/cm³
# total energy: -5.761 eV per atom
# size of the total moment: 11.4 μB per cell
# calculated formation energy: 122.1 kJ per mole of atoms
# volume: 26.64 Å³ per atom
# energy above the most stable polymorph in this dataset: 0.5663 eV per atom
data_Mn3AlBi
_space_group_name_H-M_alt 'P m -3 m'
_space_group_IT_number 221
_space_group_name_Hall '-P 4 2 3'
_cell_length_a 5.107
_cell_length_b 5.107
_cell_length_c 5.107
_cell_angle_alpha 90.00
_cell_angle_beta 90.00
_cell_angle_gamma 90.00
loop_
_atom_site_label
_atom_site_type_symbol
_atom_site_fract_x
_atom_site_fract_y
_atom_site_fract_z
Mn1 Mn 0.000 0.000 0.500
Al1 Al 0.500 0.500 0.500
Bi1 Bi 0.000 0.000 0.000


# Mn2AlBi | Alexandria | PBE | relaxed
# mass density: 7.91 g/cm³
# total energy: -5.785 eV per atom
# size of the total moment: 6.2 μB per cell
# calculated formation energy: 68.1 kJ per mole of atoms
# volume: 18.14 Å³ per atom
# energy above the most stable polymorph in this dataset: 0.2207 eV per atom
data_Mn2AlBi
_space_group_name_H-M_alt 'I -4 2 d'
_space_group_IT_number 122
_space_group_name_Hall 'I -4 2bw'
_cell_length_a 4.062
_cell_length_b 4.062
_cell_length_c 17.596
_cell_angle_alpha 90.00
_cell_angle_beta 90.00
_cell_angle_gamma 90.00
loop_
_atom_site_label
_atom_site_type_symbol
_atom_site_fract_x
_atom_site_fract_y
_atom_site_fract_z
Mn1 Mn 0.136 0.250 0.125
Al1 Al 0.000 0.000 0.000
Bi1 Bi 0.000 0.000 0.500


# Mn3AlBi | Alexandria | PBE | relaxed
# mass density: 6.55 g/cm³
# total energy: -6.327 eV per atom
# size of the total moment: 10.7 μB per cell
# calculated formation energy: 67.5 kJ per mole of atoms
# volume: 20.33 Å³ per atom
# energy above the most stable polymorph in this dataset: 0.0000 eV per atom
data_Mn3AlBi
_space_group_name_H-M_alt 'P m -3 m'
_space_group_IT_number 221
_space_group_name_Hall '-P 4 2 3'
_cell_length_a 4.667
_cell_length_b 4.667
_cell_length_c 4.667
_cell_angle_alpha 90.00
_cell_angle_beta 90.00
_cell_angle_gamma 90.00
loop_
_atom_site_label
_atom_site_type_symbol
_atom_site_fract_x
_atom_site_fract_y
_atom_site_fract_z
Mn1 Mn 0.000 0.000 0.500
Al1 Al 0.000 0.000 0.000
Bi1 Bi 0.500 0.500 0.500


# MnAlBi3 | Alexandria | PBE | relaxed
# mass density: 7.56 g/cm³
# total energy: -3.567 eV per atom
# size of the total moment: 0.3 μB per cell
# calculated formation energy: 129.7 kJ per mole of atoms
# volume: 31.16 Å³ per atom
# energy above the most stable polymorph in this dataset: 0.7223 eV per atom
data_MnAlBi3
_space_group_name_H-M_alt 'P m -3 m'
_space_group_IT_number 221
_space_group_name_Hall '-P 4 2 3'
_cell_length_a 5.381
_cell_length_b 5.381
_cell_length_c 5.381
_cell_angle_alpha 90.00
_cell_angle_beta 90.00
_cell_angle_gamma 90.00
loop_
_atom_site_label
_atom_site_type_symbol
_atom_site_fract_x
_atom_site_fract_y
_atom_site_fract_z
Mn1 Mn 0.000 0.000 0.000
Al1 Al 0.500 0.500 0.500
Bi1 Bi 0.000 0.500 0.500


# Mn2AlBi | Alexandria | PBE | relaxed
# mass density: 9.44 g/cm³
# total energy: -6.005 eV per atom
# size of the total moment: 8.0 μB per cell
# calculated formation energy: 46.8 kJ per mole of atoms
# volume: 15.22 Å³ per atom
# energy above the most stable polymorph in this dataset: 0.0000 eV per atom
data_Mn2AlBi
_space_group_name_H-M_alt 'F m -3 m'
_space_group_IT_number 225
_space_group_name_Hall '-F 4 2 3'
_cell_length_a 6.244
_cell_length_b 6.244
_cell_length_c 6.244
_cell_angle_alpha 90.00
_cell_angle_beta 90.00
_cell_angle_gamma 90.00
loop_
_atom_site_label
_atom_site_type_symbol
_atom_site_fract_x
_atom_site_fract_y
_atom_site_fract_z
Mn1 Mn 0.250 0.250 0.250
Al1 Al 0.000 0.000 0.000
Bi1 Bi 0.000 0.000 0.500


# MnAlBi2 | Alexandria | PBE | relaxed
# mass density: 6.29 g/cm³
# total energy: -4.800 eV per atom
# size of the total moment: 16.0 μB per cell
# calculated formation energy: 35.5 kJ per mole of atoms
# volume: 33.01 Å³ per atom
data_MnAlBi2
_space_group_name_H-M_alt 'I -4 2 d'
_space_group_IT_number 122
_space_group_name_Hall 'I -4 2bw'
_cell_length_a 6.448
_cell_length_b 6.448
_cell_length_c 12.705
_cell_angle_alpha 90.00
_cell_angle_beta 90.00
_cell_angle_gamma 90.00
loop_
_atom_site_label
_atom_site_type_symbol
_atom_site_fract_x
_atom_site_fract_y
_atom_site_fract_z
Mn1 Mn 0.000 0.000 0.000
Al1 Al 0.000 0.000 0.500
Bi1 Bi 0.245 0.250 0.125


# MnAlBi3 | Alexandria | PBE | relaxed
# mass density: 8.60 g/cm³
# total energy: -4.289 eV per atom
# size of the total moment: 0.0 μB per cell
# calculated formation energy: 60.0 kJ per mole of atoms
# volume: 27.39 Å³ per atom
# energy above the most stable polymorph in this dataset: 0.0000 eV per atom
data_MnAlBi3
_space_group_name_H-M_alt 'P m -3 m'
_space_group_IT_number 221
_space_group_name_Hall '-P 4 2 3'
_cell_length_a 5.154
_cell_length_b 5.154
_cell_length_c 5.154
_cell_angle_alpha 90.00
_cell_angle_beta 90.00
_cell_angle_gamma 90.00
loop_
_atom_site_label
_atom_site_type_symbol
_atom_site_fract_x
_atom_site_fract_y
_atom_site_fract_z
Mn1 Mn 0.000 0.000 0.000
Al1 Al 0.500 0.500 0.500
Bi1 Bi 0.000 0.000 0.500


# Mn2Al2Bi | Alexandria | PBE | relaxed
# mass density: 7.18 g/cm³
# total energy: -5.768 eV per atom
# size of the total moment: 10.7 μB per cell
# calculated formation energy: 16.7 kJ per mole of atoms
# volume: 17.25 Å³ per atom
# energy above the most stable polymorph in this dataset: 0.0000 eV per atom
data_Mn2Al2Bi
_space_group_name_H-M_alt 'P 4/m b m'
_space_group_IT_number 127
_space_group_name_Hall '-P 4 2ab'
_cell_length_a 7.647
_cell_length_b 7.647
_cell_length_c 2.951
_cell_angle_alpha 90.00
_cell_angle_beta 90.00
_cell_angle_gamma 90.00
loop_
_atom_site_label
_atom_site_type_symbol
_atom_site_fract_x
_atom_site_fract_y
_atom_site_fract_z
Mn1 Mn 0.124 0.376 0.000
Al1 Al 0.165 0.665 0.500
Bi1 Bi 0.000 0.000 0.000


# MnAl2Bi | Alexandria | PBE | relaxed
# mass density: 5.94 g/cm³
# total energy: -4.797 eV per atom
# size of the total moment: 13.5 μB per cell
# calculated formation energy: 32.5 kJ per mole of atoms
# volume: 22.23 Å³ per atom
data_MnAl2Bi
_space_group_name_H-M_alt 'I -4 2 d'
_space_group_IT_number 122
_space_group_name_Hall 'I -4 2bw'
_cell_length_a 4.450
_cell_length_b 4.450
_cell_length_c 17.963
_cell_angle_alpha 90.00
_cell_angle_beta 90.00
_cell_angle_gamma 90.00
loop_
_atom_site_label
_atom_site_type_symbol
_atom_site_fract_x
_atom_site_fract_y
_atom_site_fract_z
Mn1 Mn 0.000 0.000 0.000
Al1 Al 0.158 0.250 0.125
Bi1 Bi 0.000 0.000 0.500


# Mn2Al2Bi | Alexandria | PBE | relaxed
# mass density: 6.93 g/cm³
# total energy: -5.736 eV per atom
# size of the total moment: 12.0 μB per cell
# calculated formation energy: 19.8 kJ per mole of atoms
# volume: 17.87 Å³ per atom
# energy above the most stable polymorph in this dataset: 0.0329 eV per atom
data_Mn2Al2Bi
_space_group_name_H-M_alt 'P 4/m b m'
_space_group_IT_number 127
_space_group_name_Hall '-P 4 2ab'
_cell_length_a 7.803
_cell_length_b 7.803
_cell_length_c 2.935
_cell_angle_alpha 90.00
_cell_angle_beta 90.00
_cell_angle_gamma 90.00
loop_
_atom_site_label
_atom_site_type_symbol
_atom_site_fract_x
_atom_site_fract_y
_atom_site_fract_z
Mn1 Mn 0.169 0.331 0.000
Al1 Al 0.122 0.622 0.500
Bi1 Bi 0.000 0.000 0.500


# MnAlBi2Mo | Alexandria | PBE | relaxed
# mass density: 6.95 g/cm³
# total energy: -5.402 eV per atom
# size of the total moment: 4.0 μB per cell
# calculated formation energy: 86.8 kJ per mole of atoms
# volume: 28.49 Å³ per atom
data_MnAlBi2Mo
_space_group_name_H-M_alt 'P 4/m m m'
_space_group_IT_number 123
_space_group_name_Hall '-P 4 2'
_cell_length_a 5.374
_cell_length_b 5.374
_cell_length_c 4.932
_cell_angle_alpha 90.00
_cell_angle_beta 90.00
_cell_angle_gamma 90.00
loop_
_atom_site_label
_atom_site_type_symbol
_atom_site_fract_x
_atom_site_fract_y
_atom_site_fract_z
Mn1 Mn 0.000 0.000 0.000
Al1 Al 0.500 0.500 0.000
Bi1 Bi 0.000 0.500 0.500
Mo1 Mo 0.000 0.000 0.500


# NaMnAlBi2 | Alexandria | PBE | relaxed
# mass density: 5.56 g/cm³
# total energy: -3.380 eV per atom
# size of the total moment: 4.7 μB per cell
# calculated formation energy: 98.3 kJ per mole of atoms
# volume: 31.23 Å³ per atom
data_NaMnAlBi2
_space_group_name_H-M_alt 'P 4/m m m'
_space_group_IT_number 123
_space_group_name_Hall '-P 4 2'
_cell_length_a 5.513
_cell_length_b 5.513
_cell_length_c 5.138
_cell_angle_alpha 90.00
_cell_angle_beta 90.00
_cell_angle_gamma 90.00
loop_
_atom_site_label
_atom_site_type_symbol
_atom_site_fract_x
_atom_site_fract_y
_atom_site_fract_z
Na1 Na 0.000 0.000 0.000
Mn1 Mn 0.500 0.500 0.500
Al1 Al 0.000 0.000 0.500
Bi1 Bi 0.000 0.500 0.000


# MnAlNi2Bi | Alexandria | PBE | relaxed
# mass density: 5.58 g/cm³
# total energy: -4.410 eV per atom
# size of the total moment: 5.0 μB per cell
# calculated formation energy: 121.7 kJ per mole of atoms
# volume: 24.32 Å³ per atom
data_MnAlNi2Bi
_space_group_name_H-M_alt 'P 4/m m m'
_space_group_IT_number 123
_space_group_name_Hall '-P 4 2'
_cell_length_a 4.778
_cell_length_b 4.778
_cell_length_c 5.327
_cell_angle_alpha 90.00
_cell_angle_beta 90.00
_cell_angle_gamma 90.00
loop_
_atom_site_label
_atom_site_type_symbol
_atom_site_fract_x
_atom_site_fract_y
_atom_site_fract_z
Mn1 Mn 0.000 0.000 0.000
Al1 Al 0.500 0.500 0.000
Ni1 Ni 0.000 0.500 0.500
Bi1 Bi 0.500 0.500 0.500